Computed, not measured: SbRu2W at its PBEsol-relaxed geometry at the SCAN level of DFT.

a = 8.7987 Å, b = 8.7987 Å, c = 8.7987 Å
α = 19.00°, β = 19.00°, γ = 19.00°
Last column: nearest neighbours and their distance in Å.
Atoms (fractional coordinates):
Sb 0.0000 0.0000 0.0000  3 Ru 2.68, 3 W 2.89, 6 Sb 2.90
Ru 0.2529 0.2529 0.2529  3 Sb 2.68, 9 Ru 2.72-2.90
Ru 0.5036 0.5036 0.5036  3 W 2.65, 9 Ru 2.72-2.90
W 0.7576 0.7576 0.7576  3 Ru 2.65, 3 Sb 2.89, 6 W 2.90

Values from the calculation:
- ΔE_f (raw): 0.50 eV/atom
- Symmetry: R3m (160)
- E_tot: -43.65 eV per atom
- DOS at the Fermi energy: 2.92 states/eV/cell

---

Computed, not measured: SbRu2W at its PBEsol-relaxed geometry at the SCAN level of DFT.

a = 4.4411 Å, b = 4.4411 Å, c = 4.4411 Å
α = 60.00°, β = 60.00°, γ = 60.00°
Last column: nearest neighbours and their distance in Å.
Atoms (fractional coordinates):
Sb 0.0000 0.0000 0.0000  4 W 2.72, 4 Ru 2.72
Ru 0.5000 0.5000 0.5000  4 W 2.72, 4 Ru 2.72
Ru 0.7500 0.7500 0.7500  4 Sb 2.72, 4 Ru 2.72
W 0.2500 0.2500 0.2500  4 Sb 2.72, 4 Ru 2.72

Values from the calculation:
- ΔE_f (raw): 0.45 eV/atom
- Symmetry: F-43m (216)
- E_tot: -43.70 eV per atom
- DOS at the Fermi energy: 3.29 states/eV/cell

---

Computed, not measured: SbRuW2 at its PBEsol-relaxed geometry at the SCAN level of DFT.

a = 5.1425 Å, b = 5.1425 Å, c = 5.1425 Å
α = 136.45°, β = 136.45°, γ = 63.29°
Last column: nearest neighbours and their distance in Å.
Atoms (fractional coordinates):
Sb 0.0000 0.0000 0.0000  4 Ru 2.70, 8 W 2.90
Ru 0.5000 0.5000 0.0000  4 Sb 2.70, 8 W 2.90
W 0.2500 0.7500 0.5000  4 W 2.70, 4 Ru 2.90, 4 Sb 2.90
W 0.7500 0.2500 0.5000  4 W 2.70, 4 Ru 2.90, 4 Sb 2.90

Values from the calculation:
- ΔE_f (raw): 0.33 eV/atom
- Symmetry: I4/mmm (139)
- E_tot: -52.53 eV per atom
- DOS at the Fermi energy: 1.47 states/eV/cell

---

Computed, not measured: Sb2RuW at its PBEsol-relaxed geometry at the SCAN level of DFT.

a = 5.2883 Å, b = 5.2883 Å, c = 3.0534 Å
α = 104.85°, β = 104.85°, γ = 107.70°
Last column: nearest neighbours and their distance in Å.
Atoms (fractional coordinates):
Sb 0.0000 0.5000 0.0000  2 W 2.69, 2 Ru 2.69
Sb 0.5000 0.0000 0.0000  2 W 2.69, 2 Ru 2.69
Ru 0.0000 0.0000 0.5000  4 Sb 2.69
W 0.5000 0.5000 0.5000  4 Sb 2.69

Values from the calculation:
- ΔE_f (raw): 0.83 eV/atom
- Symmetry: C2/m (12)
- E_tot: -43.93 eV per atom
- DOS at the Fermi energy: 2.98 states/eV/cell

---

Computed, not measured: Sb2RuW at its PBEsol-relaxed geometry at the SCAN level of DFT.

a = 4.5952 Å, b = 4.5952 Å, c = 3.2607 Å
α = 90.00°, β = 90.00°, γ = 90.00°
Last column: nearest neighbours and their distance in Å.
Atoms (fractional coordinates):
Sb 0.0000 0.5000 0.0000  4 W 2.82, 4 Ru 2.82
Sb 0.5000 0.0000 0.0000  4 W 2.82, 4 Ru 2.82
Ru 0.0000 0.0000 0.5000  8 Sb 2.82
W 0.5000 0.5000 0.5000  8 Sb 2.82

Values from the calculation:
- ΔE_f (raw): 0.41 eV/atom
- Symmetry: P4/mmm (123)
- E_tot: -44.35 eV per atom
- DOS at the Fermi energy: 1.98 states/eV/cell

---

Computed, not measured: SbRu2W at its PBEsol-relaxed geometry at the SCAN level of DFT.

a = 2.9985 Å, b = 2.9985 Å, c = 6.9261 Å
α = 90.00°, β = 90.00°, γ = 90.00°
Last column: nearest neighbours and their distance in Å.
Atoms (fractional coordinates):
Sb 0.0000 0.0000 0.0000  4 Ru 2.65, 4 W 2.89
Ru 0.0000 0.0000 0.5121  4 W 2.65, 4 Ru 2.77
Ru 0.5000 0.5000 0.7702  4 Sb 2.65, 4 Ru 2.77
W 0.5000 0.5000 0.2837  4 Ru 2.65, 4 Sb 2.89

Values from the calculation:
- ΔE_f (raw): 0.36 eV/atom
- Symmetry: P4mm (99)
- E_tot: -43.79 eV per atom
- DOS at the Fermi energy: 1.41 states/eV/cell

---

Copy entry 1 word for word.
Computed, not measured: SbRu2W at its PBEsol-relaxed geometry at the SCAN level of DFT.

a = 8.7987 Å, b = 8.7987 Å, c = 8.7987 Å
α = 19.00°, β = 19.00°, γ = 19.00°
Last column: nearest neighbours and their distance in Å.
Atoms (fractional coordinates):
Sb 0.0000 0.0000 0.0000  3 Ru 2.68, 3 W 2.89, 6 Sb 2.90
Ru 0.2529 0.2529 0.2529  3 Sb 2.68, 9 Ru 2.72-2.90
Ru 0.5036 0.5036 0.5036  3 W 2.65, 9 Ru 2.72-2.90
W 0.7576 0.7576 0.7576  3 Ru 2.65, 3 Sb 2.89, 6 W 2.90

Values from the calculation:
- ΔE_f (raw): 0.50 eV/atom
- Symmetry: R3m (160)
- E_tot: -43.65 eV per atom
- DOS at the Fermi energy: 2.92 states/eV/cell